Record 1
This record from Alexandria via LeMat-Bulk describes a relaxed TaZnIn2 crystal. The functional is PBE.

Output
The density of states at the Fermi level comes out at 3.361 states/eV/cell. As for the total magnetization: 0.000 Bohr magnetons per cell. The density comes out at 9.5 Mg/m³. The volume comes out at 83 Å³ per cell. The formation energy comes out at 0.202 eV per atom.

a b c (Å): 2.9688 2.9688 9.3956
angles (deg): 90.00 90.00 90.00
With the nearest neighbours (Å) after each atom.
Space group P4mm (No. 99)
Inequivalent atoms, fractional coordinates:
Ta (0.0000, 0.0000, 0.0000) x1  4 Zn 2.83, 4 Ta 2.97, 4 In 3.10
Zn (0.5000, 0.5000, 0.2018) x1  4 Ta 2.83, 4 Zn 2.97
In (0.0000, 0.0000, 0.4551) x1  4 In 2.97, 4 Zn 3.17
In (0.5000, 0.5000, 0.7578) x1  4 In 2.97, 4 Ta 3.10



Record 2
This record from Alexandria via LeMat-Bulk describes a relaxed Ce4Tc2Sb crystal. The functional is PBE.

Output
The formation energy without anion corrections comes out at -261.2 meV/atom. The density of states at the Fermi level comes out at 24.492 states/eV/cell. As for the total magnetization: 1.923 Bohr magnetons per cell. The density comes out at 8.1 Mg/m³. The volume comes out at 362 Å³ per cell.

a b c (Å): 7.4888 7.6423 7.6754
angles (deg): 108.93 107.70 105.42
With the nearest neighbours (Å) after each atom.
Space group P1 (No. 1)
Inequivalent atoms, fractional coordinates:
Ce (0.0000, 0.0000, 0.0000) x1  1 Tc 2.41
Ce (0.0354, 0.0028, 0.5286) x1  2 Tc 2.51-2.80
Ce (0.1409, 0.5373, 0.8567) x1  4 Tc 3.15-3.44, 1 Ce 3.25, 1 Sb 3.37
Ce (0.4604, 0.8703, 0.7085) x1  1 Tc 2.60
Ce (0.4975, 0.6522, 0.2950) x1  1 Tc 2.47
Ce (0.5838, 0.1492, 0.3865) x1  1 Tc 2.42
Ce (0.6545, 0.5056, 0.8400) x1  1 Tc 2.44
Ce (0.9098, 0.4889, 0.2634) x1  1 Tc 2.39
Tc (0.0985, 0.7855, 0.2487) x1  2 Ce 2.39-2.51
Tc (0.6658, 0.7917, 0.1099) x1  2 Ce 2.44-2.47
Tc (0.7612, 0.1125, 0.6849) x1  2 Ce 2.42-2.60
Tc (0.8501, 0.7322, 0.6587) x1  1 Ce 2.41
Sb (0.2562, 0.3722, 0.4582) x1  8 Ce 3.08-3.42
Sb (0.4079, 0.2265, 0.9865) x1  7 Ce 3.07-3.32



Record 3
This record from Alexandria via LeMat-Bulk describes a relaxed FeAsRu3 crystal. The functional is PBE.

Output
The polymorph energy (0 for the lowest one) is 0.0 meV per atom. The density of states at the Fermi level comes out at 6.022 states/eV/cell. As for the total magnetization: 0.000 Bohr magnetons per cell. The density comes out at 8.4 Mg/m³. The volume comes out at 85 Å³ per cell. The formation energy comes out at 1.320 eV per atom.

a b c (Å): 4.4029 4.4029 4.4029
angles (deg): 90.00 90.00 90.00
With the nearest neighbours (Å) after each atom.
Space group Pm-3m (No. 221)
Inequivalent atoms, fractional coordinates:
Fe (0.0000, 0.0000, 0.0000) x1  6 Ru 2.20
As (0.5000, 0.5000, 0.5000) x1  12 Ru 3.11
Ru (0.0000, 0.0000, 0.5000) x3  2 Fe 2.20



Record 4
This record from Alexandria via LeMat-Bulk describes a relaxed Mg2C crystal. The functional is PBE.

Output
The polymorph energy (0 for the lowest one) is 217.3 meV per atom. The density of states at the Fermi level comes out at 0.576 states/eV/cell. As for the total magnetization: 0.000 Bohr magnetons per cell. The density comes out at 2.5 Mg/m³. The volume comes out at 82 Å³ per cell. The formation energy comes out at 0.467 eV per atom.

a b c (Å): 3.7999 3.7999 5.6867
angles (deg): 90.00 90.00 90.00
With the nearest neighbours (Å) after each atom.
Space group P4/nmm (No. 129, origin choice 2)
Inequivalent atoms, fractional coordinates:
Mg (0.2500, 0.2500, 0.1076) x2  1 C 2.17
Mg (0.2500, 0.7500, 0.5000) x2  4 C 2.29
C (0.2500, 0.2500, 0.7253) x2  5 Mg 2.17-2.29



Look up the density of the third one. 8.4 Mg/m³